Material: LiPuCuAu
Method: DFT, GGA-PBE
State: optimized geometry

Properties
- Symmetry: No. 216
- ΔH_f (0 K): -0.3 eV per formula unit

The structure in POSCAR format:
```
LiPuCuAu
1.0
0.000 3.435 3.435
3.435 0.000 3.435
3.435 3.435 0.000
Li Pu Cu Au
1 1 1 1
Cartesian
0.000 0.000 0.000 Li
3.435 3.435 3.435 Pu
1.718 1.718 1.718 Cu
5.153 5.153 5.153 Au
```



Material: CePr2Nd3
Method: DFT, GGA-PBE
State: optimized geometry

Properties
- Symmetry: No. 12
- ΔH_f (0 K): 0.8 eV per formula unit

The structure in POSCAR format:
```
CePr2Nd3
1.0
6.765 -1.784 0.000
6.765 1.784 0.000
-3.600 0.000 17.456
Ce Pr Nd
2 4 6
Cartesian
-0.034 0.000 3.084 Ce
9.964 0.000 14.371 Ce
1.719 0.000 0.120 Pr
1.673 0.000 11.633 Pr
8.257 0.000 5.823 Pr
8.211 0.000 17.335 Pr
-0.068 0.000 8.596 Nd
-0.052 0.000 14.553 Nd
4.771 0.000 5.831 Nd
5.160 0.000 11.625 Nd
9.983 0.000 2.902 Nd
9.998 0.000 8.860 Nd
```



Material: CuAgRu
Method: DFT, GGA-PBE
State: optimized geometry

Properties
- Polymorph energy (0 for the lowest one): 0.227 eV per atom
- Symmetry: No. 107
- ΔH_f (0 K): 1.1 eV per formula unit

The structure in POSCAR format:
```
CuAgRu
1.0
-1.336 1.336 6.142
1.336 -1.336 6.142
1.336 1.336 -6.142
Cu Ag Ru
1 1 1
Cartesian
0.000 0.000 0.000 Cu
0.000 0.000 4.085 Ag
0.000 0.000 7.997 Ru
```



Material: AgW2Br
Method: DFT, GGA-PBE
State: optimized geometry

Properties
- Polymorph energy (0 for the lowest one): 0.902 eV per atom
- Symmetry: No. 123
- E_form (uncorrected): 1.399 eV per atom

The structure in POSCAR format:
```
AgW2Br
1.0
3.856 0.000 0.000
0.000 3.856 0.000
0.000 0.000 4.930
Ag W Br
1 2 1
Cartesian
0.000 0.000 0.000 Ag
0.000 1.928 2.465 W
1.928 0.000 2.465 W
1.928 1.928 0.000 Br
```



Material: SrGaBi2
Method: DFT, GGA-PBE
State: optimized geometry

Properties
- Symmetry: No. 166
- ΔH_f (0 K): -0.7 eV per formula unit

The structure in POSCAR format:
```
SrGaBi2
1.0
2.091 1.207 8.661
-2.091 1.207 8.661
0.000 -2.414 8.661
Sr Ga Bi
1 1 2
Cartesian
0.000 0.000 0.000 Sr
0.000 0.000 12.992 Ga
0.000 0.000 6.089 Bi
0.000 0.000 19.895 Bi
```



Material: KRe2Tc
Method: DFT, GGA-PBE
State: optimized geometry

Properties
- Polymorph energy (0 for the lowest one): 0.000 eV per atom
- Symmetry: No. 160
- ΔH_f (0 K): 2.9 eV per formula unit

The structure in POSCAR format:
```
KRe2Tc
1.0
1.399 0.808 10.470
-1.399 0.808 10.470
0.000 -1.615 10.470
K Re Tc
1 2 1
Cartesian
0.000 0.000 0.000 K
0.000 0.000 15.730 Re
0.000 0.000 23.995 Re
0.000 0.000 7.423 Tc
```



Material: Na3La2PmS6
Method: DFT, GGA-PBE
State: optimized geometry

Properties
- Symmetry: No. 12
- E_form (uncorrected): -1.840 eV per atom

The structure in POSCAR format:
```
Na3La2PmS6
1.0
3.627 -6.282 0.000
3.627 6.282 0.000
-2.417 0.000 6.663
Na La Pm S
3 2 1 6
Cartesian
0.000 0.000 0.000 Na
3.627 2.080 0.000 Na
3.627 -2.080 0.000 Na
2.418 4.187 3.331 La
2.418 -4.187 3.331 La
2.418 0.000 3.331 Pm
1.229 2.059 1.774 S
0.041 0.000 4.881 S
1.229 -2.059 1.774 S
3.608 2.059 4.889 S
4.796 0.000 1.782 S
3.608 -2.059 4.889 S
```



Material: SmY3Er4Se8
Method: DFT, GGA-PBE
State: optimized geometry

Properties
- Symmetry: No. 166
- E_form (uncorrected): -1.732 eV per atom

The structure in POSCAR format:
```
SmY3Er4Se8
1.0
4.065 2.347 6.682
-4.065 2.347 6.682
0.000 -4.694 6.682
Sm Y Er Se
1 3 4 8
Cartesian
0.000 0.000 0.000 Sm
-2.033 -1.173 6.682 Y
-2.033 1.173 13.365 Y
0.000 2.347 6.682 Y
-4.065 0.000 10.023 Er
-2.033 1.173 3.341 Er
2.033 1.173 3.341 Er
0.000 0.000 10.023 Er
0.000 0.000 4.976 Se
-2.011 -1.161 11.641 Se
0.000 -2.322 8.406 Se
-2.011 1.161 8.406 Se
2.011 -1.161 11.641 Se
0.000 2.322 11.641 Se
2.011 1.161 8.406 Se
0.000 0.000 15.071 Se
```



Material: CoSbSI2
Method: DFT, GGA-PBE
State: optimized geometry

Properties
- Polymorph energy (0 for the lowest one): 0.000 eV per atom
- Symmetry: No. 123
- E_form (uncorrected): 0.606 eV per atom

The structure in POSCAR format:
```
CoSbSI2
1.0
5.124 0.000 0.000
0.000 5.124 0.000
0.000 0.000 4.977
Co Sb S I
1 1 1 2
Cartesian
0.000 0.000 0.000 Co
0.000 0.000 2.488 Sb
2.562 2.562 2.488 S
0.000 2.562 0.000 I
2.562 0.000 0.000 I
```



Material: GePbSN2
Method: DFT, GGA-PBE
State: optimized geometry

Properties
- Polymorph energy (0 for the lowest one): 0.745 eV per atom
- Symmetry: No. 123
- E_form (uncorrected): 1.611 eV per atom

The structure in POSCAR format:
```
GePbSN2
1.0
4.304 0.000 0.000
0.000 4.304 0.000
0.000 0.000 5.444
Ge Pb S N
1 1 1 2
Cartesian
0.000 0.000 0.000 Ge
2.152 2.152 2.722 Pb
2.152 2.152 0.000 S
0.000 2.152 2.722 N
2.152 0.000 2.722 N
```



Material: NiGeBr
Method: DFT, GGA-PBE
State: optimized geometry

Properties
- Polymorph energy (0 for the lowest one): 0.097 eV per atom
- Symmetry: No. 1
- E_form (uncorrected): -0.194 eV per atom

The structure in POSCAR format:
```
NiGeBr
1.0
3.659 0.000 0.000
1.812 3.813 0.000
1.597 -0.292 10.023
Ni Ge Br
2 2 2
Cartesian
0.000 0.000 0.000 Ni
3.409 1.376 8.704 Ni
1.578 0.164 7.711 Ge
3.641 2.436 0.106 Ge
3.388 3.057 5.556 Br
3.654 0.974 2.198 Br
```



Material: PmEuTl4
Method: DFT, GGA-PBE
State: optimized geometry

Properties
- Symmetry: No. 216
- ΔH_f (0 K): -1.0 eV per formula unit

The structure in POSCAR format:
```
PmEuTl4
1.0
0.000 4.466 4.466
4.466 0.000 4.466
4.466 4.466 0.000
Pm Eu Tl
1 1 4
Cartesian
0.000 0.000 0.000 Pm
2.233 2.233 2.233 Eu
5.585 3.347 3.347 Tl
3.347 5.585 3.347 Tl
3.347 3.347 5.585 Tl
5.585 5.585 5.585 Tl
```



Computed Fermi-level density of states (states/eV/f.u.) in order:
14.91, 12.72, 3.09, 2.14, 2.64, 4.17, 0.00, 10.33, 6.52, 2.32, 1.28, 5.28